P | DFT (PBE) results for a relaxed structure of Ir2BrCl.

a b c (Å): 5.037 3.650 5.242
angles (deg): 90.00 113.72 90.00
Space group Pm (No. 6)
One atom of each set of equivalent atoms:
Ir 0.000 0.000 0.000 x1
Ir 0.196 0.500 0.821 x1
Br 0.316 0.000 0.504 x1
Cl 0.691 0.500 0.100 x1

---

Q | DFT (PBE) results for a relaxed structure of Ir2BrCl.

a b c (Å): 2.887 4.356 5.393
angles (deg): 90.00 90.00 90.00
Space group Pmmm (No. 47)
One atom of each set of equivalent atoms:
Ir 0.000 0.000 0.000 x1
Ir 0.500 0.000 0.500 x1
Br 0.000 0.500 0.500 x1
Cl 0.500 0.500 0.000 x1

---

The least stable of them is Q.

---

P | DFT (PBE) results for a relaxed structure of IrBrCl3.

a b c (Å): 4.808 4.808 4.808
angles (deg): 90.00 90.00 90.00
Space group Pm-3m (No. 221)
One atom of each set of equivalent atoms:
Ir 0.000 0.000 0.000 x1
Br 0.500 0.500 0.500 x1
Cl 0.000 0.000 0.500 x3

---

Q | DFT (PBE) results for a relaxed structure of IrBrCl3.

a b c (Å): 7.549 14.621 6.115
angles (deg): 90.00 123.49 90.00
Space group Cc (No. 9)
One atom of each set of equivalent atoms:
Ir 0.000 0.063 0.000 x4
Br 0.268 0.321 0.495 x4
Cl 0.204 0.056 0.464 x4
Cl 0.224 0.170 0.006 x4
Cl 0.298 0.444 0.036 x4

---

R | DFT (PBE) results for a relaxed structure of IrBrCl3.

a b c (Å): 6.318 5.734 7.470
angles (deg): 90.00 90.06 90.00
Space group P2_1 (No. 4)
One atom of each set of equivalent atoms:
Ir 0.250 0.000 0.001 x2
Br 0.250 0.784 0.285 x2
Cl 0.001 0.750 0.862 x2
Cl 0.250 0.207 0.734 x2
Cl 0.499 0.750 0.862 x2

---

The least stable of them is P.